(1)
This record from Alexandria describes a relaxed SeSCl3 crystal. The functional is PBE.

As for the space group: Pm-3m, No. 221. The calculation puts the formation energy from raw total energies at 0.46 eV per atom. The value obtained for the offset from the most stable computed form is 0.514 eV/atom. The calculation puts the density of states at the Fermi level at 6.517 states/eV/cell.

Unit cell a=5.0684 b=5.0684 c=5.0684 alpha=90.00 beta=90.00 gamma=90.00
Last column: magnetic moment on the atom in μB.
Atoms (fractional coordinates):
S  0.5000  0.5000  0.5000  1.28
Se  0.0000  0.0000  0.0000  0.01
Cl  0.0000  0.5000  0.0000  0.06
Cl  0.0000  0.0000  0.5000  0.11
Cl  0.5000  0.0000  0.0000  0.08

---

(2)
This record from Alexandria describes a relaxed GdPu4Pa crystal. The functional is PBE.

As for the space group: F-43m, No. 216. The calculated formation energy is 0.317 eV per atom. The calculation puts the density of states at the Fermi level at 24.469 states/eV/cell.

Unit cell a=6.0319 b=6.0319 c=6.0319 alpha=60.00 beta=60.00 gamma=60.00
Last column: magnetic moment on the atom in μB.
Atoms (fractional coordinates):
Gd  0.2500  0.2500  0.2500  7.10
Pa  0.0000  0.0000  0.0000  0.04
Pu  0.6263  0.6263  0.1211  5.14
Pu  0.6263  0.1211  0.6263  5.14
Pu  0.6263  0.6263  0.6263  5.14
Pu  0.1211  0.6263  0.6263  5.14

---

(3)
This record from Alexandria describes a relaxed Li3In3Ni crystal. The functional is PBE.

As for the space group: Cmmm, No. 65. The calculated formation energy is -0.172 eV per atom. The calculation puts the density of states at the Fermi level at 6.635 states/eV/cell.

Unit cell a=6.5514 b=6.5514 c=6.2546 alpha=90.00 beta=90.00 gamma=86.08
Atoms (fractional coordinates):
Li  0.2576  0.2576  0.5001
Li  0.2878  0.7122  0.5000
Li  0.7122  0.2878  0.5000
Li  0.3442  0.6558  0.0000
Li  0.6558  0.3442  0.0000
Li  0.7424  0.7424  0.4999
In  0.0000  0.0000  0.7554
In  0.5000  0.0000  0.2389
In  0.0000  0.5000  0.2389
In  0.5000  0.0000  0.7611
In  0.0000  0.5000  0.7611
In  0.0000  0.0000  0.2446
Ni  0.2339  0.2339  0.0000
Ni  0.7661  0.7661  0.0000

---

(4)
This record from Alexandria describes a relaxed PrLuSc2 crystal. The functional is PBE.

As for the space group: R-3m, No. 166. The calculated formation energy is 0.072 eV per atom. The value obtained for the offset from the most stable computed form is 0.009 eV/atom. The calculation puts the density of states at the Fermi level at 6.180 states/eV/cell.

Unit cell a=3.4459 b=3.4459 c=11.1818 alpha=81.14 beta=81.14 gamma=60.00
Atoms (fractional coordinates):
Pr  0.0000  0.0000  0.0000
Sc  0.7520  0.7520  0.7441
Sc  0.2480  0.2480  0.2559
Lu  0.5000  0.5000  0.5000

---

(5)
This record from Alexandria describes a relaxed Pm8Pr5Sn crystal. The functional is PBE.

As for the space group: I-4, No. 82. The calculated formation energy is 0.122 eV per atom. The calculation puts the density of states at the Fermi level at 22.805 states/eV/cell.

Unit cell a=8.6037 b=8.6037 c=8.6037 alpha=109.06 beta=110.30 gamma=109.06
Atoms (fractional coordinates):
Pm  0.1390  0.7054  0.0334
Pm  0.9666  0.1057  0.6721
Pm  0.7857  0.2762  0.3833
Pm  0.6167  0.4024  0.8930
Pm  0.4906  0.5976  0.2143
Pm  0.5664  0.8943  0.8610
Pm  0.3279  0.2946  0.4336
Pm  0.1070  0.7238  0.5094
Pr  0.9966  0.3125  0.1056
Pr  0.8944  0.8910  0.2069
Pr  0.7931  0.6875  0.6841
Pr  0.5000  0.0000  0.5000
Pr  0.3159  0.1090  0.0034
Sn  0.2500  0.5000  0.7500

---

(6)
This record from Alexandria describes a relaxed SrSeI2 crystal. The functional is PBE.

As for the space group: Fm-3m, No. 225. The calculation puts the formation energy from raw total energies at -0.68 eV per atom. The value obtained for the offset from the most stable computed form is 0.007 eV/atom. The calculation puts the density of states at the Fermi level at 4.278 states/eV/cell.

Unit cell a=5.8129 b=5.8129 c=5.8129 alpha=60.00 beta=60.00 gamma=60.00
Last column: magnetic moment on the atom in μB.
Atoms (fractional coordinates):
I  0.2500  0.2500  0.2500  0.17
I  0.7500  0.7500  0.7500  0.17
Sr  0.5000  0.5000  0.5000  0.01
Se  0.0000  0.0000  0.0000  0.90

---

Please write out number 1 again, unchanged.
This record from Alexandria describes a relaxed SeSCl3 crystal. The functional is PBE.

As for the space group: Pm-3m, No. 221. The calculation puts the formation energy from raw total energies at 0.46 eV per atom. The value obtained for the offset from the most stable computed form is 0.514 eV/atom. The calculation puts the density of states at the Fermi level at 6.517 states/eV/cell.

Unit cell a=5.0684 b=5.0684 c=5.0684 alpha=90.00 beta=90.00 gamma=90.00
Last column: magnetic moment on the atom in μB.
Atoms (fractional coordinates):
S  0.5000  0.5000  0.5000  1.28
Se  0.0000  0.0000  0.0000  0.01
Cl  0.0000  0.5000  0.0000  0.06
Cl  0.0000  0.0000  0.5000  0.11
Cl  0.5000  0.0000  0.0000  0.08